Density functional theory data (PBE) for Tb2GaH after structural relaxation.

Density of states at the Fermi level, states/eV per atom: 0.679
Size of the total moment, μB per cell: 0.00
ρ, Mg/m³: 7.906
Total DFT energy (no corrections), eV/atom: -4.28

abc: 7.482 7.482 7.482
angles: 28.02 28.02 28.02
Sites, in units of the cell vectors:
Tb  0.232  0.232  0.232
Tb  0.768  0.768  0.768
Ga  0.000  0.000  0.000
H  0.500  0.500  0.500



Density functional theory data (PBE) for Tb2GaH after structural relaxation.

Density of states at the Fermi level, states/eV per atom: 0.778
Size of the total moment, μB per cell: 0.00
ρ, Mg/m³: 8.213
Total DFT energy (no corrections), eV/atom: -4.11

abc: 3.309 3.309 7.177
angles: 90.00 90.00 90.00
Sites, in units of the cell vectors:
Tb  0.000  0.000  0.233
Tb  0.000  0.000  0.767
Ga  0.500  0.500  0.500
H  0.500  0.500  0.000



Density functional theory data (PBE) for TbGaH after structural relaxation.

Density of states at the Fermi level, states/eV per atom: 0.716
Size of the total moment, μB per cell: 0.00
ρ, Mg/m³: 7.127
Total DFT energy (no corrections), eV/atom: -3.83

abc: 5.904 5.904 5.904
angles: 149.29 149.29 43.98
Sites, in units of the cell vectors:
Tb  0.000  0.000  0.000
Ga  0.279  0.279  0.000
H  0.546  0.546  0.000



- Which value of size of the total moment does entry 3 give?
  0.00 μB per cell



- Look up the ρ of the third one.
  7.127 Mg/m³